Version one
Computed, not measured: a relaxed MnBe3Ni crystal at the GGA-PBE level of DFT.

It has space group Pm-3m (No. 221), with a = 3.9003 Å, b = 3.9003 Å, c = 3.9003 Å, α = 90.00°, β = 90.00° and γ = 90.00°. The asymmetric unit holds Mn at (0.0000, 0.0000, 0.0000), Be at (0.0000, 0.0000, 0.5000) and Ni at (0.5000, 0.5000, 0.5000).

As for the crystal system: cubic.


Version two
Computed, not measured: a relaxed MnBe3Ni crystal at the GGA-PBE level of DFT.

It has space group Pm-3m (No. 221), with a = 3.8155 Å, b = 3.8155 Å, c = 3.8155 Å, α = 90.00°, β = 90.00° and γ = 90.00°. The asymmetric unit holds Mn at (0.0000, 0.0000, 0.0000), Be at (0.0000, 0.5000, 0.5000) and Ni at (0.5000, 0.5000, 0.5000).

As for the crystal system: cubic.


Most favorable structure: version two. The second most favorable one is 0.391 eV/atom above it.


Version one
Computed, not measured: a relaxed MnBeNi3 crystal at the GGA-PBE level of DFT.

It has space group Pm-3m (No. 221), with a = 4.2486 Å, b = 4.2486 Å, c = 4.2486 Å, α = 90.00°, β = 90.00° and γ = 90.00°. The asymmetric unit holds Mn at (0.0000, 0.0000, 0.0000), Be at (0.5000, 0.5000, 0.5000) and Ni at (0.0000, 0.0000, 0.5000).

As for the crystal system: cubic.


Version two
Computed, not measured: a relaxed MnBeNi3 crystal at the GGA-PBE level of DFT.

It has space group Pm-3m (No. 221), with a = 3.8869 Å, b = 3.8869 Å, c = 3.8869 Å, α = 90.00°, β = 90.00° and γ = 90.00°. The asymmetric unit holds Mn at (0.0000, 0.0000, 0.0000), Be at (0.5000, 0.5000, 0.5000) and Ni at (0.0000, 0.5000, 0.5000).

As for the crystal system: cubic.


Most favorable structure: version two. The second most favorable one is 1.085 eV/atom above it.


Version one
Computed, not measured: a relaxed MnBe2Ni2 crystal at the GGA-PBE level of DFT.

It has space group P4/mbm (No. 127), with a = 6.4261 Å, b = 6.4261 Å, c = 2.4873 Å, α = 90.00°, β = 90.00° and γ = 90.00°. The asymmetric unit holds Mn at (0.0000, 0.0000, 0.0000), Be at (0.1612, 0.3388, 0.5000) and Ni at (0.1355, 0.6355, 0.0000).

As for the crystal system: tetragonal.


Version two
Computed, not measured: a relaxed MnBe2Ni2 crystal at the GGA-PBE level of DFT.

It has space group P4/mbm (No. 127), with a = 6.1891 Å, b = 6.1891 Å, c = 2.4608 Å, α = 90.00°, β = 90.00° and γ = 90.00°. The asymmetric unit holds Mn at (0.0000, 0.0000, 0.0000), Be at (0.1277, 0.3723, 0.0000) and Ni at (0.1688, 0.6688, 0.5000).

As for the crystal system: tetragonal.


Most favorable structure: version two. The second most favorable one is 0.015 eV/atom above it.